No. 1
First-principles (GGA+U) data for a relaxed Li6Fe5CuO12 crystal, as listed in Alexandria via LeMat-Bulk.

Summary:
- E: -0.2094 Ha/atom
- M_tot: 0.54 μB/atom
- Fermi-level density of states: 0.030 states/eV/atom

```
data_Li6Fe5CuO12
_chemical_formula_sum 'Li12 Fe10 Cu2 O24'
_cell_length_a 5.027
_cell_length_b 8.709
_cell_length_c 10.028
_cell_angle_alpha 90.00
_cell_angle_beta 99.56
_cell_angle_gamma 90.00
_space_group_name_H-M_alt 'C 1 2/m 1'
_space_group_IT_number 12
loop_
_space_group_symop_operation_xyz
'x,y,z'
'-x,-y,-z'
'-x,y,-z'
'x,-y,z'
'x+1/2,y+1/2,z'
'-x+1/2,-y+1/2,-z'
'-x+1/2,y+1/2,-z'
'x+1/2,-y+1/2,z'
loop_
_atom_site_label
_atom_site_fract_x
_atom_site_fract_y
_atom_site_fract_z
_atom_site_occupancy
Li1 0.087 0.000 0.255 1
Li2 0.087 0.336 0.259 1
Fe1 0.000 0.000 0.000 1
Fe2 0.000 0.167 0.500 1
Fe3 0.000 0.333 0.000 1
Cu1 0.000 0.500 0.500 1
O1 0.125 0.162 0.885 1
O2 0.136 0.500 0.885 1
O3 0.196 0.000 0.609 1
O4 0.207 0.329 0.609 1
```

No. 2
First-principles (GGA+U) data for a relaxed Li2FeCuO4 crystal, as listed in Alexandria via LeMat-Bulk.

Summary:
- Relative energy among the computed polymorphs: 0.015 eV/atom
- E: -0.2038 Ha/atom
- M_tot: 0.87 μB/atom
- Fermi-level density of states: 0.181 states/eV/atom

```
data_Li2FeCuO4
_chemical_formula_sum 'Li2 Fe1 Cu1 O4'
_cell_length_a 5.099
_cell_length_b 2.963
_cell_length_c 5.169
_cell_angle_alpha 90.00
_cell_angle_beta 109.37
_cell_angle_gamma 90.00
_space_group_name_H-M_alt 'P 1 2/m 1'
_space_group_IT_number 10
loop_
_space_group_symop_operation_xyz
'x,y,z'
'-x,-y,-z'
'-x,y,-z'
'x,-y,z'
loop_
_atom_site_label
_atom_site_fract_x
_atom_site_fract_y
_atom_site_fract_z
_atom_site_occupancy
Li1 0.000 0.000 0.000 1
Li2 0.500 0.500 0.000 1
Fe1 0.000 0.500 0.500 1
Cu1 0.500 0.000 0.500 1
O1 0.242 0.000 0.732 1
O2 0.258 0.500 0.270 1
```

No. 3
First-principles (GGA+U) data for a relaxed Li2Fe3CuO8 crystal, as listed in Alexandria via LeMat-Bulk.

Summary:
- Relative energy among the computed polymorphs: 0.128 eV/atom
- E: -0.2089 Ha/atom
- M_tot: 0.50 μB/atom
- Fermi-level density of states: 0.458 states/eV/atom

```
data_Li2Fe3CuO8
_chemical_formula_sum 'Li4 Fe6 Cu2 O16'
_cell_length_a 5.7627
_cell_length_b 5.7627
_cell_length_c 9.5856
_cell_angle_alpha 90.00
_cell_angle_beta 90.00
_cell_angle_gamma 120.00
_space_group_name_H-M_alt 'P 63 m c'
_space_group_IT_number 186
_space_group_name_Hall 'P 6c -2c'
loop_
_atom_site_label
_atom_site_fract_x
_atom_site_fract_y
_atom_site_fract_z
_atom_site_occupancy
Li1 0.0000 0.0000 0.0000 1
Li2 0.3333 0.6667 0.3980 1
Fe1 0.1686 0.3373 0.7163 1
Cu1 0.3333 0.6667 0.9917 1
O1 0.0000 0.0000 0.3143 1
O2 0.0339 0.5170 0.8340 1
O3 0.1611 0.3221 0.1089 1
O4 0.3333 0.6667 0.6102 1
```

No. 4
First-principles (GGA+U) data for a relaxed Li5Fe3Cu2O10 crystal, as listed in Alexandria via LeMat-Bulk.

Summary:
- Relative energy among the computed polymorphs: 0.000 eV/atom
- E: -0.2040 Ha/atom
- M_tot: 0.75 μB/atom
- Fermi-level density of states: 0.026 states/eV/atom

```
data_Li5Fe3Cu2O10
_chemical_formula_sum 'Li5 Fe3 Cu2 O10'
_cell_length_a 5.067
_cell_length_b 5.113
_cell_length_c 7.855
_cell_angle_alpha 108.51
_cell_angle_beta 101.94
_cell_angle_gamma 100.51
_space_group_name_H-M_alt 'P -1'
_space_group_IT_number 2
loop_
_space_group_symop_operation_xyz
'x,y,z'
'-x,-y,-z'
loop_
_atom_site_label
_atom_site_fract_x
_atom_site_fract_y
_atom_site_fract_z
_atom_site_occupancy
Li1 0.000 0.000 0.000 1
Li2 0.120 0.215 0.723 1
Li3 0.286 0.605 0.090 1
Fe1 0.189 0.390 0.388 1
Fe2 0.500 0.000 0.500 1
Cu1 0.402 0.804 0.809 1
O1 0.050 0.604 0.840 1
O2 0.167 0.791 0.555 1
O3 0.272 0.015 0.273 1
O4 0.364 0.186 0.956 1
O5 0.452 0.387 0.636 1
```

No. 5
First-principles (GGA+U) data for a relaxed Li3FeCu3O8 crystal, as listed in Alexandria via LeMat-Bulk.

Summary:
- E: -0.1915 Ha/atom
- M_tot: 0.66 μB/atom
- Fermi-level density of states: 0.383 states/eV/atom

```
data_Li3FeCu3O8
_chemical_formula_sum 'Li9 Fe3 Cu9 O24'
_cell_length_a 5.8658
_cell_length_b 5.8658
_cell_length_c 14.6490
_cell_angle_alpha 90.00
_cell_angle_beta 90.00
_cell_angle_gamma 120.00
_space_group_name_H-M_alt 'R -3 m'
_space_group_IT_number 166
_space_group_name_Hall '-R 3 2"'
loop_
_atom_site_label
_atom_site_fract_x
_atom_site_fract_y
_atom_site_fract_z
_atom_site_occupancy
Li1 0.0000 0.5000 0.0000 1
Fe1 0.0000 0.0000 0.5000 1
Cu1 0.0000 0.5000 0.5000 1
O1 0.0000 0.0000 0.2423 1
O2 0.0104 0.5052 0.2402 1
```

No. 6
First-principles (GGA+U) data for a relaxed Li5Fe2Cu3O10 crystal, as listed in Alexandria via LeMat-Bulk.

Summary:
- E: -0.1967 Ha/atom
- M_tot: 0.30 μB/atom
- Fermi-level density of states: 0.274 states/eV/atom

```
data_Li5Fe2Cu3O10
_chemical_formula_sum 'Li5 Fe2 Cu3 O10'
_cell_length_a 5.045
_cell_length_b 5.229
_cell_length_c 7.606
_cell_angle_alpha 106.53
_cell_angle_beta 102.56
_cell_angle_gamma 102.40
_space_group_name_H-M_alt 'P -1'
_space_group_IT_number 2
loop_
_space_group_symop_operation_xyz
'x,y,z'
'-x,-y,-z'
loop_
_atom_site_label
_atom_site_fract_x
_atom_site_fract_y
_atom_site_fract_z
_atom_site_occupancy
Li1 0.000 0.000 0.000 1
Li2 0.102 0.215 0.712 1
Li3 0.294 0.592 0.099 1
Fe1 0.398 0.813 0.807 1
Cu1 0.197 0.394 0.400 1
Cu2 0.500 0.000 0.500 1
O1 0.062 0.620 0.839 1
O2 0.164 0.812 0.562 1
O3 0.286 0.999 0.260 1
O4 0.370 0.175 0.956 1
O5 0.440 0.456 0.661 1
```

No. 7
First-principles (GGA+U) data for a relaxed Li2Fe3CuO8 crystal, as listed in Alexandria via LeMat-Bulk.

Summary:
- Relative energy among the computed polymorphs: 0.000 eV/atom
- E: -0.2136 Ha/atom
- M_tot: 0.79 μB/atom
- Fermi-level density of states: 0.115 states/eV/atom

```
data_Li2Fe3CuO8
_chemical_formula_sum 'Li4 Fe6 Cu2 O16'
_cell_length_a 10.135
_cell_length_b 5.953
_cell_length_c 6.050
_cell_angle_alpha 90.00
_cell_angle_beta 126.07
_cell_angle_gamma 90.00
_space_group_name_H-M_alt 'C 1 2/m 1'
_space_group_IT_number 12
loop_
_space_group_symop_operation_xyz
'x,y,z'
'-x,-y,-z'
'-x,y,-z'
'x,-y,z'
'x+1/2,y+1/2,z'
'-x+1/2,-y+1/2,-z'
'-x+1/2,y+1/2,-z'
'x+1/2,-y+1/2,z'
loop_
_atom_site_label
_atom_site_fract_x
_atom_site_fract_y
_atom_site_fract_z
_atom_site_occupancy
Li1 0.250 0.250 0.000 1
Fe1 0.000 0.000 0.500 1
Fe2 0.250 0.250 0.500 1
Cu1 0.000 0.500 0.500 1
O1 0.004 0.241 0.292 1
O2 0.230 0.500 0.712 1
O3 0.232 0.000 0.716 1
```

No. 8
First-principles (GGA+U) data for a relaxed Li2FeCuO4 crystal, as listed in Alexandria via LeMat-Bulk.

Summary:
- Relative energy among the computed polymorphs: 0.000 eV/atom
- E: -0.2043 Ha/atom
- M_tot: 0.63 μB/atom
- Fermi-level density of states: 0.331 states/eV/atom

```
data_Li2FeCuO4
_chemical_formula_sum 'Li4 Fe2 Cu2 O8'
_cell_length_a 4.137
_cell_length_b 4.137
_cell_length_c 8.421
_cell_angle_alpha 90.00
_cell_angle_beta 90.00
_cell_angle_gamma 90.00
_space_group_name_H-M_alt 'I -4 m 2'
_space_group_IT_number 119
_space_group_name_Hall 'I -4 -2'
loop_
_atom_site_label
_atom_site_fract_x
_atom_site_fract_y
_atom_site_fract_z
_atom_site_occupancy
Li1 0.000 0.000 0.000 1
Li2 0.000 0.500 0.250 1
Fe1 0.000 0.000 0.500 1
Cu1 0.000 0.500 0.750 1
O1 0.000 0.000 0.264 1
O2 0.000 0.500 0.522 1
```

No. 9
First-principles (GGA+U) data for a relaxed Li2Fe2CuO6 crystal, as listed in Alexandria via LeMat-Bulk.

Summary:
- E: -0.2091 Ha/atom
- M_tot: 0.09 μB/atom
- Fermi-level density of states: 0.275 states/eV/atom

```
data_Li2Fe2CuO6
_chemical_formula_sum 'Li6 Fe6 Cu3 O18'
_cell_length_a 6.505
_cell_length_b 6.754
_cell_length_c 8.638
_cell_angle_alpha 70.65
_cell_angle_beta 70.58
_cell_angle_gamma 82.59
_space_group_name_H-M_alt 'P 1'
_space_group_IT_number 1
loop_
_space_group_symop_operation_xyz
'x,y,z'
loop_
_atom_site_label
_atom_site_fract_x
_atom_site_fract_y
_atom_site_fract_z
_atom_site_occupancy
Li1 0.000 0.000 0.000 1
Li2 0.011 0.320 0.680 1
Li3 0.325 0.317 0.352 1
Li4 0.344 0.605 0.029 1
Li5 0.663 0.979 0.377 1
Li6 0.675 0.635 0.676 1
Fe1 0.008 0.620 0.852 1
Fe2 0.009 0.970 0.527 1
Fe3 0.337 0.976 0.184 1
Fe4 0.347 0.643 0.507 1
Fe5 0.669 0.955 0.852 1
Fe6 0.684 0.642 0.193 1
Cu1 0.004 0.304 0.191 1
Cu2 0.342 0.294 0.846 1
Cu3 0.677 0.302 0.522 1
O1 0.002 0.010 0.275 1
O2 0.008 0.601 0.078 1
O3 0.017 0.644 0.625 1
O4 0.038 0.317 0.903 1
O5 0.307 0.290 0.122 1
O6 0.329 0.590 0.772 1
O7 0.332 0.958 0.422 1
O8 0.349 0.996 0.940 1
O9 0.359 0.656 0.261 1
O10 0.374 0.335 0.567 1
O11 0.650 0.273 0.756 1
O12 0.665 0.660 0.423 1
O13 0.672 0.955 0.073 1
O14 0.683 0.949 0.633 1
O15 0.689 0.652 0.935 1
O16 0.700 0.318 0.292 1
O17 0.980 0.273 0.480 1
O18 0.984 0.926 0.785 1
```

No. 10
First-principles (GGA+U) data for a relaxed Li4Fe5Cu3O16 crystal, as listed in Alexandria via LeMat-Bulk.

Summary:
- E: -0.2075 Ha/atom
- M_tot: 0.39 μB/atom
- Fermi-level density of states: 0.211 states/eV/atom

```
data_Li4Fe5Cu3O16
_chemical_formula_sum 'Li8 Fe10 Cu6 O32'
_cell_length_a 10.113
_cell_length_b 5.822
_cell_length_c 9.454
_cell_angle_alpha 90.00
_cell_angle_beta 91.41
_cell_angle_gamma 90.00
_space_group_name_H-M_alt 'C 1 m 1'
_space_group_IT_number 8
loop_
_space_group_symop_operation_xyz
'x,y,z'
'x,-y,z'
'x+1/2,y+1/2,z'
'x+1/2,-y+1/2,z'
loop_
_atom_site_label
_atom_site_fract_x
_atom_site_fract_y
_atom_site_fract_z
_atom_site_occupancy
Li1 0.000 0.000 0.000 1
Li2 0.002 0.000 0.498 1
Li3 0.167 0.500 0.393 1
Li4 0.336 0.000 0.893 1
Fe1 0.089 0.254 0.717 1
Fe2 0.169 0.500 0.995 1
Fe3 0.172 0.000 0.218 1
Fe4 0.336 0.000 0.495 1
Cu1 0.334 0.500 0.716 1
Cu2 0.417 0.246 0.216 1
O1 0.007 0.000 0.308 1
O2 0.009 0.000 0.811 1
O3 0.021 0.500 0.836 1
O4 0.090 0.241 0.103 1
O5 0.162 0.500 0.610 1
O6 0.165 0.000 0.608 1
O7 0.238 0.274 0.840 1
O8 0.256 0.218 0.343 1
O9 0.330 0.000 0.111 1
O10 0.340 0.500 0.102 1
O11 0.428 0.252 0.602 1
O12 0.481 0.000 0.340 1
```

No. 11
First-principles (GGA+U) data for a relaxed Li5Fe3Cu2O10 crystal, as listed in Alexandria via LeMat-Bulk.

Summary:
- Relative energy among the computed polymorphs: 0.206 eV/atom
- E: -0.1964 Ha/atom
- M_tot: 0.25 μB/atom
- Fermi-level density of states: 0.059 states/eV/atom

```
data_Li5Fe3Cu2O10
_chemical_formula_sum 'Li5 Fe3 Cu2 O10'
_cell_length_a 5.215
_cell_length_b 5.332
_cell_length_c 7.518
_cell_angle_alpha 100.85
_cell_angle_beta 94.48
_cell_angle_gamma 92.15
_space_group_name_H-M_alt 'P -1'
_space_group_IT_number 2
loop_
_space_group_symop_operation_xyz
'x,y,z'
'-x,-y,-z'
loop_
_atom_site_label
_atom_site_fract_x
_atom_site_fract_y
_atom_site_fract_z
_atom_site_occupancy
Li1 0.000 0.000 0.000 1
Li2 0.063 0.347 0.869 1
Li3 0.223 0.442 0.412 1
Fe1 0.000 0.000 0.500 1
Fe2 0.493 0.269 0.092 1
Cu1 0.457 0.861 0.313 1
O1 0.074 0.358 0.627 1
O2 0.233 0.112 0.277 1
O3 0.273 0.569 0.062 1
O4 0.299 0.035 0.882 1
O5 0.364 0.439 0.661 1
```

No. 12
First-principles (GGA+U) data for a relaxed Li3Fe2Cu2O8 crystal, as listed in Alexandria via LeMat-Bulk.

Summary:
- E: -0.2037 Ha/atom
- M_tot: 0.60 μB/atom
- Fermi-level density of states: 0.326 states/eV/atom

```
data_Li3Fe2Cu2O8
_chemical_formula_sum 'Li3 Fe2 Cu2 O8'
_cell_length_a 5.804
_cell_length_b 5.896
_cell_length_c 5.971
_cell_angle_alpha 119.22
_cell_angle_beta 118.20
_cell_angle_gamma 90.62
_space_group_name_H-M_alt 'P -1'
_space_group_IT_number 2
loop_
_space_group_symop_operation_xyz
'x,y,z'
'-x,-y,-z'
loop_
_atom_site_label
_atom_site_fract_x
_atom_site_fract_y
_atom_site_fract_z
_atom_site_occupancy
Li1 0.000 0.000 0.000 1
Li2 0.000 0.500 0.000 1
Li3 0.500 0.000 0.500 1
Fe1 0.500 0.000 0.000 1
Fe2 0.500 0.500 0.000 1
Cu1 0.000 0.500 0.500 1
Cu2 0.500 0.500 0.500 1
O1 0.243 0.738 0.527 1
O2 0.251 0.299 0.521 1
O3 0.285 0.282 0.064 1
O4 0.299 0.775 0.054 1
```